The following is a PBE+U calculation of MoS2ClO after structural relaxation, from Alexandria.

Cell lengths 3.9246, 3.9246, 5.7900 Å; angles 90.00, 90.00, 90.00 degrees
Fractional coordinates of all 5 atoms:
Mo  0.5000  0.5000  0.5000
S  0.0000  0.5000  0.0000
S  0.5000  0.0000  0.0000
O  0.0000  0.0000  0.0000
Cl  0.0000  0.0000  0.5000

Properties
* energy above the most stable polymorph in this dataset: 0 meV/atom
* symmetry: No. 123
* total DFT energy (no corrections): -19.73 eV/cell
* density of states at the Fermi level: 0.245 states/eV per atom
* volume: 89.2 Å³/f.u.